# 1
InCuI2: optimized geometry, PBE.

```
data_InCuI2
_cell_length_a 7.914
_cell_length_b 7.914
_cell_length_c 7.205
_cell_angle_alpha 56.69
_cell_angle_beta 56.69
_cell_angle_gamma 90.00
_symmetry_space_group_name_H-M 'P 1'
_symmetry_Int_Tables_number 1
loop_
_symmetry_equiv_pos_as_xyz
'x,y,z'
loop_
_atom_site_label
_atom_site_fract_x
_atom_site_fract_y
_atom_site_fract_z
_atom_site_occupancy
I1 0.543 0.125 0.250 1
I2 0.207 0.625 0.250 1
I3 0.375 0.457 0.750 1
I4 0.875 0.793 0.750 1
Cu1 0.500 0.500 0.000 1
Cu2 0.250 0.750 0.500 1
In1 0.000 0.000 0.000 1
In2 0.750 0.250 0.500 1
```

## Properties
Energy above the lowest structure with this stoichiometry, eV per atom: 0.000
E_form (uncorrected), meV/atom: -240
VASP energy, eV for the cell shown: -21.8


# 2
In2CuI8: optimized geometry, PBE.

```
data_In2CuI8
_cell_length_a 8.091
_cell_length_b 8.880
_cell_length_c 8.880
_cell_angle_alpha 67.71
_cell_angle_beta 84.21
_cell_angle_gamma 84.21
_symmetry_space_group_name_H-M 'P 1'
_symmetry_Int_Tables_number 1
loop_
_symmetry_equiv_pos_as_xyz
'x,y,z'
loop_
_atom_site_label
_atom_site_fract_x
_atom_site_fract_y
_atom_site_fract_z
_atom_site_occupancy
In1 0.663 0.216 0.216 1
In2 0.337 0.784 0.784 1
Cu1 0.000 0.000 0.000 1
I1 0.150 0.090 0.702 1
I2 0.150 0.702 0.090 1
I3 0.850 0.910 0.298 1
I4 0.269 0.609 0.609 1
I5 0.850 0.298 0.910 1
I6 0.336 0.193 0.193 1
I7 0.664 0.807 0.807 1
I8 0.731 0.391 0.391 1
```

## Properties
E_form (uncorrected), meV/atom: -355
VASP energy, eV for the cell shown: -25.9